Entry from Alexandria: Li5IO6 at its PBEsol-relaxed geometry (SCAN).

Lattice parameters (Å, degrees): 5.0870 5.0870 14.2644 90.00 90.00 120.00
With the nearest neighbours (Å) after each atom.
Positions (direct):
Li 0.4391 0.2196 0.0000  6 O 2.08-2.11
Li 0.7804 0.5609 0.6667  6 O 2.08-2.11
Li 0.7804 0.2196 0.3333  6 O 2.08-2.11
Li 0.1143 0.5571 0.5000  6 O 2.05-2.27
Li 0.4429 0.8857 0.1667  6 O 2.05-2.27
Li 0.4429 0.5571 0.8333  6 O 2.05-2.27
Li 0.4526 0.2263 0.5000  6 O 2.07-2.22
Li 0.7737 0.5474 0.1667  6 O 2.07-2.22
Li 0.7737 0.2263 0.8333  6 O 2.07-2.22
Li 0.1072 0.5536 0.0000  6 O 2.07-2.11
Li 0.4464 0.8928 0.6667  6 O 2.07-2.11
Li 0.4464 0.5536 0.3333  6 O 2.07-2.11
Li 0.7777 0.8889 0.5000  6 O 2.07-2.24
Li 0.1111 0.2223 0.1667  6 O 2.07-2.24
Li 0.1111 0.8889 0.8333  6 O 2.07-2.24
I 0.7748 0.8874 0.0000  6 O 1.88-1.90
I 0.1126 0.2252 0.6667  6 O 1.88-1.90
I 0.1126 0.8874 0.3333  6 O 1.88-1.90
O 0.7729 0.1879 0.0784  1 I 1.90, 4 Li 2.05-2.11
O 0.4150 0.2271 0.7451  1 I 1.90, 4 Li 2.05-2.11
O 0.7729 0.5850 0.9216  1 I 1.90, 4 Li 2.05-2.11
O 0.8121 0.5850 0.4118  1 I 1.90, 4 Li 2.05-2.11
O 0.4150 0.1879 0.2549  1 I 1.90, 4 Li 2.05-2.11
O 0.8121 0.2271 0.5882  1 I 1.90, 4 Li 2.05-2.11
O 0.0766 0.1923 0.9245  1 I 1.88, 4 Li 2.07-2.09
O 0.1157 0.9234 0.5912  1 I 1.88, 4 Li 2.07-2.09
O 0.0766 0.8843 0.0755  1 I 1.88, 4 Li 2.07-2.09
O 0.8077 0.8843 0.2579  1 I 1.88, 4 Li 2.07-2.09
O 0.1157 0.1923 0.4088  1 I 1.88, 4 Li 2.07-2.09
O 0.8077 0.9234 0.7421  1 I 1.88, 4 Li 2.07-2.09
O 0.4721 0.5840 0.0775  1 I 1.90, 4 Li 2.06-2.10
O 0.1118 0.5279 0.7441  1 I 1.90, 4 Li 2.06-2.10
O 0.4721 0.8882 0.9225  1 I 1.90, 4 Li 2.06-2.10
O 0.4160 0.8882 0.4108  1 I 1.90, 4 Li 2.06-2.10
O 0.1118 0.5840 0.2559  1 I 1.90, 4 Li 2.06-2.10
O 0.4160 0.5279 0.5892  1 I 1.90, 4 Li 2.06-2.10

Calculated values
Total DFT energy (no corrections), hartree per atom: -0.327
Calculated volume, Å³ per atom: 8.880
ΔE_f (raw), eV per atom: -1.726